VASP calculation (PBE-GGA) on a geometry-optimized Nd2Al3Zn4 structure.

Geometry as CIF:
```
data_Nd2Al3Zn4
_chemical_formula_sum 'Nd8 Al12 Zn16'
_symmetry_space_group_name_H-M 'C m c e'
_symmetry_Int_Tables_number 64
_symmetry_space_group_name_Hall '-C 2ac 2'
_cell_length_a 5.8580
_cell_length_b 15.5545
_cell_length_c 7.8191
_cell_angle_alpha 90.00
_cell_angle_beta 90.00
_cell_angle_gamma 90.00
loop_
_atom_site_label
_atom_site_type_symbol
_atom_site_fract_x
_atom_site_fract_y
_atom_site_fract_z
_atom_site_occupancy
Nd1 Nd 0.0000 0.1066 0.0974 1
Al1 Al 0.0000 0.0000 0.5000 1
Al2 Al 0.2500 0.2300 0.7500 1
Zn1 Zn 0.0000 0.1759 0.4842 1
Zn2 Zn 0.2500 0.0644 0.7500 1
```

Values from the calculation:
* DFT total energy: -3.1953 eV per atom
* ΔH_f (0 K): -322 meV/atom